# 1
# PBE Sr3ZrS, optimized geometry
data_Sr3ZrS
_chemical_formula_sum 'Sr3 Zr1 S1'
_symmetry_space_group_name_H-M 'P 1'
_symmetry_Int_Tables_number 1
_cell_length_a 5.7912
_cell_length_b 5.7912
_cell_length_c 5.7912
_cell_angle_alpha 90.00
_cell_angle_beta 90.00
_cell_angle_gamma 90.00
loop_
_symmetry_equiv_pos_as_xyz
'x,y,z'
loop_
_atom_site_label
_atom_site_type_symbol
_atom_site_fract_x
_atom_site_fract_y
_atom_site_fract_z
Zr1 Zr 0.5000 0.5000 0.5000
Sr1 Sr 0.0000 0.5000 0.0000
Sr2 Sr 0.0000 0.0000 0.5000
Sr3 Sr 0.5000 0.0000 0.0000
S1 S 0.0000 0.0000 0.0000
# Relative energy among the computed polymorphs   0 meV per atom
# Formation energy (no corrections)   -0.271 eV per atom
# Space group   Pm-3m

***

# 2
# PBE CaMoPb2, optimized geometry
data_CaMoPb2
_chemical_formula_sum 'Ca1 Mo1 Pb2'
_symmetry_space_group_name_H-M 'P 1'
_symmetry_Int_Tables_number 1
_cell_length_a 6.0231
_cell_length_b 6.0231
_cell_length_c 6.0231
_cell_angle_alpha 137.16
_cell_angle_beta 137.16
_cell_angle_gamma 62.19
loop_
_symmetry_equiv_pos_as_xyz
'x,y,z'
loop_
_atom_site_label
_atom_site_type_symbol
_atom_site_fract_x
_atom_site_fract_y
_atom_site_fract_z
Ca1 Ca 0.5000 0.5000 0.0000
Mo1 Mo 0.7500 0.2500 0.5000
Pb1 Pb 0.0000 0.0000 0.0000
Pb2 Pb 0.2500 0.7500 0.5000
# Relative energy among the computed polymorphs   200 meV per atom
# E_form   0.4040 eV per atom
# Space group   I-4m2

***

# 3
# PBE Sn3S2Br2, optimized geometry
data_Sn3S2Br2
_chemical_formula_sum 'Sn6 S4 Br4'
_symmetry_space_group_name_H-M 'P 1'
_symmetry_Int_Tables_number 1
_cell_length_a 8.1185
_cell_length_b 7.6305
_cell_length_c 8.1854
_cell_angle_alpha 90.00
_cell_angle_beta 63.07
_cell_angle_gamma 90.00
loop_
_symmetry_equiv_pos_as_xyz
'x,y,z'
loop_
_atom_site_label
_atom_site_type_symbol
_atom_site_fract_x
_atom_site_fract_y
_atom_site_fract_z
Sn1 Sn 0.2468 0.9531 0.3205
Sn2 Sn 0.7532 0.0469 0.6795
Sn3 Sn 0.2532 0.4531 0.6795
Sn4 Sn 0.5000 0.5000 0.0000
Sn5 Sn 0.0000 0.0000 0.0000
Sn6 Sn 0.7468 0.5469 0.3205
S1 S 0.4021 0.6320 0.3690
S2 S 0.0979 0.1320 0.6310
S3 S 0.5979 0.3680 0.6310
S4 S 0.9021 0.8680 0.3690
Br1 Br 0.3512 0.7992 0.8707
Br2 Br 0.1488 0.2992 0.1293
Br3 Br 0.6488 0.2008 0.1293
Br4 Br 0.8512 0.7008 0.8707
# Relative energy among the computed polymorphs   51 meV per atom
# Formation energy (no corrections)   -0.510 eV per atom
# Space group   P2_1/c

***

# 4
# PBE YCu2Ir, optimized geometry
data_YCu2Ir
_chemical_formula_sum 'Y1 Cu2 Ir1'
_symmetry_space_group_name_H-M 'P 1'
_symmetry_Int_Tables_number 1
_cell_length_a 9.2725
_cell_length_b 9.2725
_cell_length_c 9.2725
_cell_angle_alpha 17.95
_cell_angle_beta 17.95
_cell_angle_gamma 17.95
loop_
_symmetry_equiv_pos_as_xyz
'x,y,z'
loop_
_atom_site_label
_atom_site_type_symbol
_atom_site_fract_x
_atom_site_fract_y
_atom_site_fract_z
Ir1 Ir 0.2500 0.2500 0.2500
Y1 Y 0.7500 0.7500 0.7500
Cu1 Cu 0.9918 0.9918 0.9918
Cu2 Cu 0.5082 0.5082 0.5082
# Relative energy among the computed polymorphs   711 meV per atom
# E_form   0.4297 eV per atom
# Space group   R-3m

***

# 5
# PBE TcSnH2W, optimized geometry
data_TcSnH2W
_chemical_formula_sum 'Tc1 Sn1 H2 W1'
_symmetry_space_group_name_H-M 'P 1'
_symmetry_Int_Tables_number 1
_cell_length_a 3.1106
_cell_length_b 3.1110
_cell_length_c 6.3123
_cell_angle_alpha 90.00
_cell_angle_beta 90.02
_cell_angle_gamma 90.00
loop_
_symmetry_equiv_pos_as_xyz
'x,y,z'
loop_
_atom_site_label
_atom_site_type_symbol
_atom_site_fract_x
_atom_site_fract_y
_atom_site_fract_z
W1 W 0.7243 0.0000 0.5728
Tc1 Tc 0.2245 0.5000 0.8165
H1 H 0.2242 0.0000 0.4120
H2 H 0.7232 0.5000 0.4121
Sn1 Sn 0.7248 0.0000 0.1004
# Relative energy among the computed polymorphs   0 meV per atom
# Space group   P4mm

***

# 6
# PBE Tb2Er2Sb3, optimized geometry
data_Tb2Er2Sb3
_chemical_formula_sum 'Tb2 Er2 Sb3'
_symmetry_space_group_name_H-M 'P 1'
_symmetry_Int_Tables_number 1
_cell_length_a 4.3529
_cell_length_b 7.3374
_cell_length_c 7.3499
_cell_angle_alpha 98.97
_cell_angle_beta 90.04
_cell_angle_gamma 107.31
loop_
_symmetry_equiv_pos_as_xyz
'x,y,z'
loop_
_atom_site_label
_atom_site_type_symbol
_atom_site_fract_x
_atom_site_fract_y
_atom_site_fract_z
Sb1 Sb 0.7419 0.4846 0.2539
Sb2 Sb 0.2581 0.5154 0.7461
Sb3 Sb 0.0000 0.0000 0.0000
Er1 Er 0.8809 0.7607 0.6167
Er2 Er 0.1191 0.2393 0.3833
Tb1 Tb 0.6238 0.2475 0.8631
Tb2 Tb 0.3762 0.7525 0.1369
# Relative energy among the computed polymorphs   144 meV per atom
# Formation energy (no corrections)   -0.834 eV per atom
# Space group   C2/m

***

# 7
# PBE K3SbCl2F6, optimized geometry
data_K3SbCl2F6
_chemical_formula_sum 'K3 Sb1 Cl2 F6'
_symmetry_space_group_name_H-M 'P 1'
_symmetry_Int_Tables_number 1
_cell_length_a 4.7468
_cell_length_b 7.6825
_cell_length_c 8.6269
_cell_angle_alpha 116.44
_cell_angle_beta 89.72
_cell_angle_gamma 90.00
loop_
_symmetry_equiv_pos_as_xyz
'x,y,z'
loop_
_atom_site_label
_atom_site_type_symbol
_atom_site_fract_x
_atom_site_fract_y
_atom_site_fract_z
F1 F 0.7377 0.2263 0.0900
F2 F 0.7377 0.8637 0.0900
F3 F 0.6913 0.8900 0.7800
F4 F 0.2623 0.1363 0.9100
F5 F 0.3087 0.1100 0.2200
F6 F 0.2623 0.7737 0.9100
K1 K 0.5000 0.0000 0.5000
K2 K 0.0000 0.5000 0.0000
K3 K 0.5000 0.5000 0.5000
Cl1 Cl 0.9808 0.3053 0.6106
Cl2 Cl 0.0192 0.6947 0.3894
Sb1 Sb 0.5000 0.0000 0.0000
# Formation energy (no corrections)   -2.333 eV per atom
# Space group   C2/m

***

# 8
# PBE Y3BiRh8, optimized geometry
data_Y3BiRh8
_chemical_formula_sum 'Y3 Bi1 Rh8'
_symmetry_space_group_name_H-M 'P 1'
_symmetry_Int_Tables_number 1
_cell_length_a 5.3505
_cell_length_b 5.3505
_cell_length_c 9.2684
_cell_angle_alpha 73.22
_cell_angle_beta 73.22
_cell_angle_gamma 60.00
loop_
_symmetry_equiv_pos_as_xyz
'x,y,z'
loop_
_atom_site_label
_atom_site_type_symbol
_atom_site_fract_x
_atom_site_fract_y
_atom_site_fract_z
Rh1 Rh 0.4367 0.9371 0.6890
Rh2 Rh 0.4375 0.9401 0.1848
Rh3 Rh 0.9371 0.4367 0.6890
Rh4 Rh 0.6878 0.6878 0.9367
Rh5 Rh 0.4375 0.4375 0.1848
Rh6 Rh 0.9371 0.9371 0.6890
Rh7 Rh 0.9401 0.4375 0.1848
Rh8 Rh 0.1878 0.1878 0.4366
Y1 Y 0.9968 0.9968 0.0097
Y2 Y 0.3757 0.3757 0.8730
Y3 Y 0.5028 0.5028 0.4915
Bi1 Bi 0.8730 0.8730 0.3810
# E_form   -0.5674 eV per atom
# Space group   R3m

***

# 9
# PBE ZnFeAu2Cl, optimized geometry
data_ZnFeAu2Cl
_chemical_formula_sum 'Zn1 Fe1 Au2 Cl1'
_symmetry_space_group_name_H-M 'P 1'
_symmetry_Int_Tables_number 1
_cell_length_a 5.0481
_cell_length_b 4.3466
_cell_length_c 5.0481
_cell_angle_alpha 90.00
_cell_angle_beta 90.00
_cell_angle_gamma 90.00
loop_
_symmetry_equiv_pos_as_xyz
'x,y,z'
loop_
_atom_site_label
_atom_site_type_symbol
_atom_site_fract_x
_atom_site_fract_y
_atom_site_fract_z
Fe1 Fe 0.0000 0.0000 0.0000
Au1 Au 0.0000 0.0000 0.5000
Au2 Au 0.5000 0.0000 0.0000
Zn1 Zn 0.5000 0.5000 0.5000
Cl1 Cl 0.0000 0.5000 0.0000
# Formation energy (no corrections)   0.419 eV per atom
# Space group   P4/mmm

***

# 10
# PBE K2SrTcNi, optimized geometry
data_K2SrTcNi
_chemical_formula_sum 'K2 Sr1 Tc1 Ni1'
_symmetry_space_group_name_H-M 'P 1'
_symmetry_Int_Tables_number 1
_cell_length_a 6.3176
_cell_length_b 4.6076
_cell_length_c 6.3176
_cell_angle_alpha 90.00
_cell_angle_beta 90.00
_cell_angle_gamma 90.00
loop_
_symmetry_equiv_pos_as_xyz
'x,y,z'
loop_
_atom_site_label
_atom_site_type_symbol
_atom_site_fract_x
_atom_site_fract_y
_atom_site_fract_z
Sr1 Sr 0.5000 0.5000 0.5000
K1 K 0.0000 0.0000 0.5000
K2 K 0.5000 0.0000 0.0000
Ni1 Ni 0.0000 0.5000 0.0000
Tc1 Tc 0.0000 0.0000 0.0000
# E_form   1.0878 eV per atom
# Space group   P4/mmm

***

# 11
# PBE LuHfGaCo, optimized geometry
data_LuHfGaCo
_chemical_formula_sum 'Lu1 Hf1 Ga1 Co1'
_symmetry_space_group_name_H-M 'P 1'
_symmetry_Int_Tables_number 1
_cell_length_a 4.6936
_cell_length_b 4.6936
_cell_length_c 4.6936
_cell_angle_alpha 60.00
_cell_angle_beta 60.00
_cell_angle_gamma 60.00
loop_
_symmetry_equiv_pos_as_xyz
'x,y,z'
loop_
_atom_site_label
_atom_site_type_symbol
_atom_site_fract_x
_atom_site_fract_y
_atom_site_fract_z
Hf1 Hf 0.2500 0.2500 0.2500
Ga1 Ga 0.0000 0.0000 0.0000
Lu1 Lu 0.7500 0.7500 0.7500
Co1 Co 0.5000 0.5000 0.5000
# E_form   -0.3121 eV per atom
# Space group   F-43m